w:
Density functional theory data (GGA-PBE) for PaVSn2 after structural relaxation.

abc: 3.5048 3.5048 7.0268
angles: 90.00 90.00 90.00
Fractional coordinates of all 4 atoms:
Pa  0.0000  0.0000  0.0000
V  0.0000  0.0000  0.5000
Sn  0.5000  0.5000  0.2903
Sn  0.5000  0.5000  0.7097

Calculated values
- crystal system = tetragonal

---

x:
Density functional theory data (GGA-PBE) for PaVSn2 after structural relaxation.

abc: 11.0519 11.0519 11.0519
angles: 16.21 16.21 16.21
Fractional coordinates of all 4 atoms:
Pa  0.0000  0.0000  0.0000
V  0.5000  0.5000  0.5000
Sn  0.0981  0.0981  0.0981
Sn  0.9019  0.9019  0.9019

Calculated values
- crystal system = trigonal

---

Out of the structures above, which one is the least stable? Solution: x.